Material: Sc2TiRe
Method: DFT, PBE-GGA
State: optimized geometry Values from VASP.

Cell and atoms, written as Quantum ESPRESSO input:
```
&SYSTEM
  ibrav = 0, nat = 4, ntyp = 3
/
ATOMIC_SPECIES
Sc 44.96 Sc.upf
Ti 47.87 Ti.upf
Re 186.21 Re.upf
ATOMIC_POSITIONS crystal
Sc 0.096 0.096 0.096
Sc 0.904 0.904 0.904
Ti 0.000 0.000 0.000
Re 0.500 0.500 0.500
CELL_PARAMETERS angstrom
1.500 0.866 10.071
-1.500 0.866 10.071
0.000 -1.732 10.071
```

Properties
Theoretical density = 6858 kg/m³
Distance to the lowest polymorph of the same formula = 0.84 eV/f.u.
Final energy = -7.895 eV per atom
Calculated formation energy = 356 meV per atom
Crystal system = trigonal

***

Material: SmTlS
Method: DFT, PBE-GGA
State: optimized geometry Values from VASP.

Cell and atoms, written as Quantum ESPRESSO input:
```
&SYSTEM
  ibrav = 0, nat = 6, ntyp = 3
/
ATOMIC_SPECIES
Sm 150.36 Sm.upf
Tl 204.38 Tl.upf
S 32.06 S.upf
ATOMIC_POSITIONS crystal
Sm 0.101 0.101 0.101
Sm 0.899 0.899 0.899
Tl 0.355 0.355 0.355
Tl 0.645 0.645 0.645
S 0.207 0.207 0.207
S 0.793 0.793 0.793
CELL_PARAMETERS angstrom
2.345 1.354 8.861
-2.345 1.354 8.861
0.000 -2.708 8.861
```

Properties
Theoretical density = 7611 kg/m³
Final energy = -4.819 eV per atom
Energy relative to the elements, uncorrected = -1.081 eV per atom
Crystal system = trigonal

***

Material: Er2BiN
Method: DFT, PBE-GGA
State: optimized geometry Values from VASP.

Cell and atoms, written as Quantum ESPRESSO input:
```
&SYSTEM
  ibrav = 0, nat = 8, ntyp = 3
/
ATOMIC_SPECIES
Er 167.26 Er.upf
Bi 208.98 Bi.upf
N 14.01 N.upf
ATOMIC_POSITIONS crystal
Er 0.250 0.250 0.183
Er 0.250 0.750 0.500
Er 0.750 0.250 0.500
Er 0.750 0.750 0.817
Bi 0.250 0.250 0.815
Bi 0.750 0.750 0.185
N 0.250 0.250 0.426
N 0.750 0.750 0.574
CELL_PARAMETERS angstrom
4.520 0.000 0.000
0.000 4.520 0.000
0.000 0.000 9.008
```

Properties
Theoretical density = 10059 kg/m³
Distance to the lowest polymorph of the same formula = 0.00 eV/f.u.
Final energy = -6.607 eV per atom
Energy relative to the elements, uncorrected = -1.274 eV per atom
Crystal system = tetragonal

***

Material: BaNp4
Method: DFT, PBE-GGA
State: optimized geometry Values from VASP.

Cell and atoms, written as Quantum ESPRESSO input:
```
&SYSTEM
  ibrav = 0, nat = 5, ntyp = 2
/
ATOMIC_SPECIES
Ba 137.33 Ba.upf
Np 237.00 Np.upf
ATOMIC_POSITIONS crystal
Ba 0.000 0.000 0.000
Np 0.000 0.000 0.500
Np 0.000 0.500 0.000
Np 0.500 0.000 0.000
Np 0.500 0.500 0.500
CELL_PARAMETERS angstrom
5.599 0.000 0.000
0.000 5.599 0.000
0.000 0.000 5.599
```

Properties
Theoretical density = 10269 kg/m³
Final energy = -8.614 eV per atom
Calculated formation energy = 2123 meV per atom
Crystal system = cubic

***

Material: Cs2RbPbF5
Method: DFT, PBE-GGA
State: optimized geometry Values from VASP.

Cell and atoms, written as Quantum ESPRESSO input:
```
&SYSTEM
  ibrav = 0, nat = 9, ntyp = 4
/
ATOMIC_SPECIES
Cs 132.91 Cs.upf
Rb 85.47 Rb.upf
Pb 207.20 Pb.upf
F 19.00 F.upf
ATOMIC_POSITIONS crystal
Cs 0.000 0.000 0.222
Cs 0.000 0.000 0.778
Rb 0.500 0.500 0.500
Pb 0.500 0.500 0.000
F 0.000 0.000 0.500
F 0.000 0.500 0.000
F 0.500 0.000 0.000
F 0.500 0.500 0.240
F 0.500 0.500 0.760
CELL_PARAMETERS angstrom
4.806 0.000 0.000
0.000 4.806 0.000
0.000 0.000 10.345
```

Properties
Theoretical density = 4541 kg/m³
Final energy = -4.309 eV per atom
Energy relative to the elements, uncorrected = -2.560 eV per atom
Crystal system = tetragonal

***

Material: BaTcBr2
Method: DFT, PBE-GGA
State: optimized geometry Values from VASP.

Cell and atoms, written as Quantum ESPRESSO input:
```
&SYSTEM
  ibrav = 0, nat = 4, ntyp = 3
/
ATOMIC_SPECIES
Ba 137.33 Ba.upf
Tc 98.00 Tc.upf
Br 79.90 Br.upf
ATOMIC_POSITIONS crystal
Ba 0.000 0.000 0.000
Tc 0.500 0.000 0.500
Br 0.484 0.500 0.739
Br 0.516 0.500 0.261
CELL_PARAMETERS angstrom
3.924 0.000 0.000
0.000 4.448 0.000
-0.176 0.000 6.628
```

Properties
Theoretical density = 5672 kg/m³
Distance to the lowest polymorph of the same formula = 0.51 eV/f.u.
Final energy = -4.150 eV per atom
Energy relative to the elements, uncorrected = -0.242 eV per atom
Crystal system = monoclinic

***

Material: TbAl3C3
Method: DFT, PBE-GGA
State: optimized geometry Values from VASP.

Cell and atoms, written as Quantum ESPRESSO input:
```
&SYSTEM
  ibrav = 0, nat = 14, ntyp = 3
/
ATOMIC_SPECIES
Tb 158.93 Tb.upf
Al 26.98 Al.upf
C 12.01 C.upf
ATOMIC_POSITIONS crystal
Tb 0.000 0.000 0.000
Tb 0.000 0.000 0.500
Al 0.333 0.667 0.134
Al 0.333 0.667 0.366
Al 0.333 0.667 0.750
Al 0.667 0.333 0.250
Al 0.667 0.333 0.634
Al 0.667 0.333 0.866
C 0.333 0.667 0.250
C 0.333 0.667 0.594
C 0.333 0.667 0.906
C 0.667 0.333 0.094
C 0.667 0.333 0.406
C 0.667 0.333 0.750
CELL_PARAMETERS angstrom
3.443 0.000 0.000
-1.721 2.982 0.000
0.000 0.000 17.375
```

Properties
Theoretical density = 5137 kg/m³
Final energy = -6.497 eV per atom
Calculated formation energy = -279 meV per atom
Crystal system = hexagonal

***

Material: Sm2Y4Te9
Method: DFT, PBE-GGA
State: optimized geometry Values from VASP.

Cell and atoms, written as Quantum ESPRESSO input:
```
&SYSTEM
  ibrav = 0, nat = 30, ntyp = 3
/
ATOMIC_SPECIES
Sm 150.36 Sm.upf
Y 88.91 Y.upf
Te 127.60 Te.upf
ATOMIC_POSITIONS crystal
Sm 0.000 0.000 0.155
Sm 0.000 0.000 0.345
Sm 0.000 0.000 0.655
Sm 0.000 0.000 0.845
Y 0.333 0.667 0.009
Y 0.333 0.667 0.323
Y 0.333 0.667 0.509
Y 0.333 0.667 0.823
Y 0.667 0.333 0.177
Y 0.667 0.333 0.491
Y 0.667 0.333 0.677
Y 0.667 0.333 0.991
Te 0.000 0.317 0.250
Te 0.000 0.683 0.750
Te 0.019 0.359 0.917
Te 0.019 0.660 0.417
Te 0.317 0.000 0.250
Te 0.317 0.317 0.750
Te 0.340 0.359 0.417
Te 0.340 0.981 0.917
Te 0.359 0.019 0.583
Te 0.359 0.340 0.083
Te 0.641 0.660 0.917
Te 0.641 0.981 0.417
Te 0.660 0.019 0.083
Te 0.660 0.641 0.583
Te 0.683 0.000 0.750
Te 0.683 0.683 0.250
Te 0.981 0.340 0.583
Te 0.981 0.641 0.083
CELL_PARAMETERS angstrom
7.753 0.000 0.000
-3.877 6.714 0.000
0.000 0.000 21.212
```

Properties
Theoretical density = 5428 kg/m³
Final energy = -5.620 eV per atom
Energy relative to the elements, uncorrected = -1.382 eV per atom
Crystal system = trigonal

***

| no. | M_tot (μB per atom) |
| --- | --- |
| 1 | 0.00 |
| 2 | 0.00 |
| 3 | 0.00 |
| 4 | 3.67 |
| 5 | 0.00 |
| 6 | 0.70 |
| 7 | 0.00 |
| 8 | 0.00 |